Entry from Alexandria via LeMat-Bulk: crystalline Sm8Ge3PSe4 at its relaxed geometry (PBE).

The raw formation energy comes out at -1.5063 eV per atom. The calculation puts the final energy at -5.94 eV per atom.

The space group is R-3m (No. 166, hexagonal axes) and the conventional cell measures 8.3983, 8.3983 and 20.7154 Å, with angles of 90.00, 90.00 and 120.00 degrees. The asymmetric unit holds Sm at (0.0000, 0.0000, 0.2469), Sm at (0.0017, 0.5009, 0.2454), Ge at (0.0000, 0.5000, 0.5000), P at (0.0000, 0.0000, 0.5000), Se at (0.0000, 0.0000, 0.0000) and Se at (0.0000, 0.5000, 0.0000).